Entry 1:
! Sm3Cd3Ag (PBE-GGA, relaxed); values from VASP
! total magnetization: 0.0 μB per formula unit
! final energy: -21.69 eV for the cell shown
! SG: Imm2
&SYSTEM
  ibrav = 0, nat = 7, ntyp = 3
/
ATOMIC_SPECIES
Sm 150.36 Sm.upf
Cd 112.41 Cd.upf
Ag 107.87 Ag.upf
ATOMIC_POSITIONS crystal
Sm 0.000 0.000 0.000
Sm 0.394 0.394 0.000
Sm 0.703 0.203 0.500
Cd 0.133 0.633 0.500
Cd 0.557 0.557 0.000
Cd 0.840 0.840 0.000
Ag 0.266 0.766 0.500
CELL_PARAMETERS angstrom
-1.733 2.493 10.584
1.733 -2.493 10.584
1.733 2.493 -10.584

=====

Entry 2:
! CeUPdAu (PBE-GGA, relaxed); values from VASP
! total magnetization: 3.1 μB per formula unit
! final energy: -27.33 eV for the cell shown
! SG: F-43m
&SYSTEM
  ibrav = 0, nat = 4, ntyp = 4
/
ATOMIC_SPECIES
Ce 140.12 Ce.upf
U 238.03 U.upf
Pd 106.42 Pd.upf
Au 196.97 Au.upf
ATOMIC_POSITIONS crystal
Ce 0.000 0.000 0.000
U 0.750 0.750 0.750
Pd 0.500 0.500 0.500
Au 0.250 0.250 0.250
CELL_PARAMETERS angstrom
0.000 3.435 3.435
3.435 0.000 3.435
3.435 3.435 0.000

=====

Entry 3:
! Mg2ZrBe (PBE-GGA, relaxed); values from VASP
! total magnetization: 0.0 μB per formula unit
! final energy: -15.31 eV for the cell shown
! SG: P4mm
&SYSTEM
  ibrav = 0, nat = 4, ntyp = 3
/
ATOMIC_SPECIES
Mg 24.30 Mg.upf
Zr 91.22 Zr.upf
Be 9.01 Be.upf
ATOMIC_POSITIONS crystal
Mg 0.000 0.000 0.000
Mg 0.500 0.500 0.296
Zr 0.000 0.000 0.599
Be 0.500 0.500 0.800
CELL_PARAMETERS angstrom
3.060 0.000 0.000
0.000 3.060 0.000
0.000 0.000 8.058